Material: Zn3Cu2Au
Method: DFT, GGA-PBE
State: optimized geometry

abc: 3.5053 4.0189 6.3752
angles: 108.37 90.00 90.00
Element x y z (fractional)
Zn1 0.5000 0.8258 0.6516
Zn2 0.5000 0.5000 0.0000
Cu1 0.0000 0.6699 0.3398
Au1 0.0000 0.0000 0.0000
Cu2 0.0000 0.3301 0.6602
Zn3 0.5000 0.1742 0.3484

Energy above the lowest structure with this stoichiometry: 0 meV per atom
Space group: Cmmm, No. 65
Density of states at the Fermi level: 0.220 states/eV per atom
E: -2.672 eV per atom
Total magnetic moment: 0.0 μB/f.u.